{"formula": "Sb6Pb", "functional": "PBE", "state": "relaxed", "cell": [[-4.1808, 4.1808, 4.1808], [4.1808, -4.1808, 4.1808], [4.1808, 4.1808, -4.1808]], "species": ["Sb", "Sb", "Sb", "Sb", "Sb", "Sb", "Pb"], "fractional_positions": [[0.2500, 0.5000, 0.7500], [0.2500, 0.7500, 0.5000], [0.5000, 0.2500, 0.7500], [0.5000, 0.7500, 0.2500], [0.7500, 0.2500, 0.5000], [0.7500, 0.5000, 0.2500], [0.0000, 0.0000, 0.0000]], "energy_ev_per_atom": -3.579, "m_tot_mub_per_fu": 0.6, "spacegroup": "Im-3m, No. 229", "e_form_raw_mev_per_atom": 484.0}